{"formula": "BeRe2B2", "functional": "GGA-PBE", "state": "relaxed", "space_group": "P4/mbm (127)", "formation_energy_mev_per_atom": -347, "e_above_lowest_polymorph_ev_per_atom": 0.000, "e_tot_ry_per_atom": -0.6426, "lattice": [[5.626, 0.000, 0.000], [0.000, 5.626, 0.000], [0.000, 0.000, 3.072]], "species": ["Re", "Re", "Re", "Re", "B", "B", "B", "B", "Be", "Be"], "frac_coords": [[0.177, 0.677, 0.500], [0.677, 0.823, 0.500], [0.823, 0.323, 0.500], [0.323, 0.177, 0.500], [0.382, 0.882, 0.000], [0.882, 0.618, 0.000], [0.618, 0.118, 0.000], [0.118, 0.382, 0.000], [0.000, 0.000, 0.000], [0.500, 0.500, 0.000]]}



{"formula": "Be3Re2B2", "functional": "GGA-PBE", "state": "relaxed", "space_group": "C2/m (12)", "formation_energy_mev_per_atom": -287, "e_tot_ry_per_atom": -0.5401, "lattice": [[3.032, 0.000, 0.000], [-1.516, 3.899, -0.596], [0.000, 0.130, 5.399]], "species": ["Be", "Be", "Be", "Re", "Re", "B", "B"], "frac_coords": [[0.320, 0.639, 0.136], [0.000, 0.000, 0.000], [0.680, 0.361, 0.864], [0.629, 0.259, 0.331], [0.371, 0.741, 0.669], [0.082, 0.165, 0.642], [0.918, 0.835, 0.358]]}



{"formula": "Be3ReB", "functional": "GGA-PBE", "state": "relaxed", "space_group": "Pm-3m (221)", "formation_energy_mev_per_atom": 1981, "e_above_lowest_polymorph_ev_per_atom": 2.142, "e_tot_ry_per_atom": -0.2999, "lattice": [[4.240, 0.000, 0.000], [0.000, 4.240, 0.000], [0.000, 0.000, 4.240]], "species": ["Re", "B", "Be", "Be", "Be"], "frac_coords": [[0.000, 0.000, 0.000], [0.500, 0.500, 0.500], [0.000, 0.500, 0.000], [0.000, 0.000, 0.500], [0.500, 0.000, 0.000]]}



{"formula": "Be3ReB", "functional": "GGA-PBE", "state": "relaxed", "space_group": "P2_1/m (11)", "formation_energy_mev_per_atom": -161, "e_above_lowest_polymorph_ev_per_atom": 0.000, "e_tot_ry_per_atom": -0.4573, "lattice": [[3.902, 0.000, -1.447], [0.000, 4.414, 0.000], [-0.092, 0.000, 5.144]], "species": ["Be", "Be", "Be", "Be", "Be", "Be", "Re", "Re", "B", "B"], "frac_coords": [[0.838, 0.448, 0.166], [0.196, 0.948, 0.395], [0.742, 0.191, 0.481], [0.742, 0.704, 0.481], [0.292, 0.691, 0.079], [0.292, 0.204, 0.079], [0.729, 0.948, 0.925], [0.305, 0.448, 0.635], [0.891, 0.448, 0.826], [0.144, 0.948, 0.735]]}



{"formula": "BeReB2", "functional": "GGA-PBE", "state": "relaxed", "space_group": "I-42d (122)", "formation_energy_mev_per_atom": 595, "e_tot_ry_per_atom": -0.4989, "lattice": [[5.400, 0.000, 0.000], [0.000, 5.400, 0.000], [2.700, 2.700, 2.533]], "species": ["Re", "Re", "B", "B", "B", "B", "Be", "Be"], "frac_coords": [[0.000, 0.000, 0.000], [0.750, 0.250, 0.500], [0.578, 0.125, 0.250], [0.172, 0.625, 0.250], [0.375, 0.422, 0.750], [0.875, 0.828, 0.750], [0.500, 0.500, 0.000], [0.250, 0.750, 0.500]]}



{"formula": "Be3ReB", "functional": "GGA-PBE", "state": "relaxed", "space_group": "Pm-3m (221)", "formation_energy_mev_per_atom": 608, "e_above_lowest_polymorph_ev_per_atom": 0.769, "e_tot_ry_per_atom": -0.4008, "lattice": [[3.613, 0.000, 0.000], [0.000, 3.613, 0.000], [0.000, 0.000, 3.613]], "species": ["Re", "B", "Be", "Be", "Be"], "frac_coords": [[0.500, 0.500, 0.500], [0.000, 0.000, 0.000], [0.000, 0.500, 0.000], [0.000, 0.000, 0.500], [0.500, 0.000, 0.000]]}



{"formula": "BeRe2B2", "functional": "GGA-PBE", "state": "relaxed", "space_group": "I4/mmm (139)", "formation_energy_mev_per_atom": 515, "e_above_lowest_polymorph_ev_per_atom": 0.862, "e_tot_ry_per_atom": -0.5792, "lattice": [[-1.305, 2.877, 2.669], [-2.794, 1.293, -2.761], [-4.439, -0.234, 1.285]], "species": ["Re", "Re", "B", "B", "Be"], "frac_coords": [[0.318, 0.318, 0.365], [0.682, 0.682, 0.635], [0.750, 0.250, 0.500], [0.250, 0.750, 0.500], [0.000, 0.000, 0.000]]}



{"formula": "Be16Re2B", "functional": "GGA-PBE", "state": "relaxed", "space_group": "R3m (160)", "formation_energy_mev_per_atom": -71, "e_tot_ry_per_atom": -0.3580, "lattice": [[-3.518, 3.193, 2.622], [0.312, -2.491, 4.811], [3.665, 3.327, 2.226]], "species": ["Be", "Be", "Be", "Be", "Be", "Be", "Be", "Be", "Be", "Be", "Be", "Be", "Be", "Be", "Be", "Be", "Re", "Re", "B"], "frac_coords": [[0.695, 0.001, 0.307], [0.001, 0.307, 0.695], [0.307, 0.695, 0.001], [0.001, 0.695, 0.307], [0.695, 0.307, 0.001], [0.307, 0.001, 0.695], [0.350, 0.840, 0.350], [0.840, 0.350, 0.350], [0.350, 0.350, 0.840], [0.652, 0.161, 0.652], [0.161, 0.652, 0.652], [0.652, 0.652, 0.161], [0.999, 0.504, 0.999], [0.504, 0.999, 0.999], [0.999, 0.999, 0.504], [0.092, 0.092, 0.092], [0.667, 0.667, 0.667], [0.341, 0.341, 0.341], [0.890, 0.890, 0.890]]}



{"formula": "BeRe4B", "functional": "GGA-PBE", "state": "relaxed", "space_group": "I4/mcm (140)", "formation_energy_mev_per_atom": 88, "e_tot_ry_per_atom": -0.7309, "lattice": [[5.437, 0.000, 0.000], [0.000, 5.437, 0.000], [-2.719, -2.719, 5.081]], "species": ["Be", "Be", "Re", "Re", "Re", "Re", "Re", "Re", "Re", "Re", "B", "B"], "frac_coords": [[0.500, 0.500, 0.000], [0.000, 0.000, 0.000], [0.467, 0.967, 0.271], [0.967, 0.804, 0.271], [0.304, 0.467, 0.271], [0.696, 0.533, 0.729], [0.033, 0.196, 0.729], [0.533, 0.033, 0.729], [0.196, 0.696, 0.729], [0.804, 0.304, 0.271], [0.250, 0.250, 0.500], [0.750, 0.750, 0.500]]}



{"formula": "BeRe2BRu", "functional": "GGA-PBE", "state": "relaxed", "space_group": "P4/mmm (123)", "formation_energy_mev_per_atom": 2379, "e_tot_ry_per_atom": -0.4804, "lattice": [[-3.053, 3.087, -1.711], [-3.529, -2.629, 1.555], [0.054, 1.932, 3.391]], "species": ["Re", "Re", "B", "Be", "Ru"], "frac_coords": [[0.000, 0.500, 0.000], [0.500, 0.000, 0.000], [0.500, 0.500, 0.500], [0.000, 0.000, 0.500], [0.000, 0.000, 0.000]]}



{"formula": "BeReSiB2", "functional": "GGA-PBE", "state": "relaxed", "space_group": "P4/mmm (123)", "raw_formation_energy_ev_per_atom": 1.259, "e_tot_ry_per_atom": -0.4213, "lattice": [[3.442, 0.000, 0.000], [0.000, 4.902, 0.000], [0.000, 0.000, 3.442]], "species": ["Re", "Si", "B", "B", "Be"], "frac_coords": [[0.000, 0.500, 0.000], [0.500, 0.500, 0.500], [0.000, 0.000, 0.500], [0.500, 0.000, 0.000], [0.000, 0.000, 0.000]]}



{"formula": "BeRe2SnB", "functional": "GGA-PBE", "state": "relaxed", "space_group": "P4/mmm (123)", "formation_energy_mev_per_atom": 2941, "e_tot_ry_per_atom": -0.3616, "lattice": [[5.001, 0.000, 0.000], [0.000, 4.030, 0.000], [0.000, 0.000, 5.001]], "species": ["Re", "Re", "B", "Sn", "Be"], "frac_coords": [[0.000, 0.000, 0.500], [0.500, 0.000, 0.000], [0.000, 0.500, 0.000], [0.000, 0.000, 0.000], [0.500, 0.500, 0.500]]}